Computed, not measured: a relaxed structure of LiNdY2Hg4 at the PBE level of DFT.

Lattice parameters (Å, degrees): 9.300 9.300 9.300 32.11 32.11 32.11
Fractional coordinates of all 8 atoms:
Li  0.000  0.000  0.000
Nd  0.500  0.500  0.500
Y  0.257  0.257  0.257
Y  0.743  0.743  0.743
Hg  0.117  0.117  0.117
Hg  0.373  0.373  0.373
Hg  0.627  0.627  0.627
Hg  0.883  0.883  0.883

Uncorrected energy   -24.4 eV per cell
DFT formation energy   -3.624 eV/f.u.
Theoretical density   9.30 Mg/m³